1.
This record from the Alexandria database describes a geometry-optimized LuGaAg structure. The functional is GGA-PBE.

Results
The density of states at the Fermi level comes out at 4.31 states/eV/cell. The value obtained for the total DFT energy (no corrections) is -0.1362 Ha/atom. Its space group is No. 216.

Cell: 4.5949 4.5949 4.5949 Å, 60.00 60.00 60.00°
With the nearest neighbours (Å) after each atom.
Positions (direct):
1 Ga 0.5000 0.5000 0.5000  4 Ag 2.81
2 Ag 0.2500 0.2500 0.2500  4 Lu 2.81, 4 Ga 2.81
3 Lu 0.0000 0.0000 0.0000  4 Ag 2.81

---

2.
This record from the Alexandria database describes a geometry-optimized LuMgGaAg structure. The functional is GGA-PBE.

Results
The density of states at the Fermi level comes out at 2.35 states/eV/cell. The value obtained for the total DFT energy (no corrections) is -0.1244 Ha/atom. Its space group is No. 216.

Cell: 4.8450 4.8450 4.8450 Å, 60.00 60.00 60.00°
With the nearest neighbours (Å) after each atom.
Positions (direct):
1 Ag 0.2500 0.2500 0.2500  4 Lu 2.97, 4 Mg 2.97
2 Ga 0.7500 0.7500 0.7500  4 Lu 2.97, 4 Mg 2.97
3 Mg 0.5000 0.5000 0.5000  4 Ga 2.97, 4 Ag 2.97
4 Lu 0.0000 0.0000 0.0000  4 Ag 2.97, 4 Ga 2.97

---

3.
This record from the Alexandria database describes a geometry-optimized NaLuGaAg structure. The functional is GGA-PBE.

Results
The density of states at the Fermi level comes out at 2.17 states/eV/cell. The value obtained for the total DFT energy (no corrections) is -0.1135 Ha/atom. Its space group is No. 216.

Cell: 4.9600 4.9600 4.9600 Å, 60.00 60.00 60.00°
With the nearest neighbours (Å) after each atom.
Positions (direct):
1 Na 0.7500 0.7500 0.7500  4 Ga 3.04, 4 Ag 3.04
2 Ga 0.0000 0.0000 0.0000  4 Na 3.04, 4 Lu 3.04
3 Ag 0.5000 0.5000 0.5000  4 Lu 3.04, 4 Na 3.04
4 Lu 0.2500 0.2500 0.2500  4 Ga 3.04, 4 Ag 3.04